# 1
The following is a DFT calculation (GGA-PBE) of a geometry-optimized Fe2RhPb structure.

```
Fe2RhPb
1.0
5.4706 0.0000 0.0000
0.0000 7.5620 0.0000
0.0000 0.0000 3.0732
Fe Rh Pb
4 2 2
Direct
0.2500 0.2500 0.0000
0.2500 0.7500 0.0000
0.7500 0.2500 0.0000
0.7500 0.7500 0.0000
0.0000 0.0000 0.5000
0.5000 0.5000 0.5000
0.0000 0.5000 0.5000
0.5000 0.0000 0.5000
```

The value obtained for the formation energy is 0.3885 eV/atom. As for the space group: Cmmm, No. 65. Its uncorrected energy is -6.61 eV per atom. The density of states at the Fermi level is 8.70 states/eV per cell.

---

# 2
The following is a DFT calculation (GGA-PBE) of a geometry-optimized FeRhPb4 structure.

```
FeRhPb4
1.0
0.0000 4.3840 4.3840
4.3840 0.0000 4.3840
4.3840 4.3840 0.0000
Fe Rh Pb
1 1 4
Direct
0.0000 0.0000 0.0000
0.2500 0.2500 0.2500
0.1267 0.6244 0.6244
0.6244 0.1267 0.6244
0.6244 0.6244 0.1267
0.6244 0.6244 0.6244
```

The value obtained for the formation energy is 1.0015 eV/atom. As for the space group: F-43m, No. 216. Its uncorrected energy is -4.11 eV per atom. The density of states at the Fermi level is 6.88 states/eV per cell.

---

# 3
The following is a DFT calculation (GGA-PBE) of a geometry-optimized FeRh2Pb structure.

```
FeRh2Pb
1.0
4.0298 0.0000 0.0000
0.0000 4.0298 0.0000
0.0000 0.0000 17.7545
Fe Rh Pb
4 8 4
Direct
0.0000 0.0000 0.0000
0.0000 0.5000 0.2500
0.5000 0.0000 0.7500
0.5000 0.5000 0.5000
0.2085 0.2500 0.1250
0.2500 0.7085 0.3750
0.2500 0.7915 0.8750
0.2915 0.2500 0.6250
0.7085 0.7500 0.6250
0.7500 0.2085 0.8750
0.7500 0.2915 0.3750
0.7915 0.7500 0.1250
0.0000 0.0000 0.5000
0.0000 0.5000 0.7500
0.5000 0.0000 0.2500
0.5000 0.5000 0.0000
```

The value obtained for the formation energy is 0.4652 eV/atom. As for the space group: I-42d, No. 122. Its uncorrected energy is -6.25 eV per atom. The density of states at the Fermi level is 19.31 states/eV per cell.

---

# 4
The following is a DFT calculation (GGA-PBE) of a geometry-optimized FeRhPb2 structure.

```
FeRhPb2
1.0
4.1199 0.0000 0.0000
-2.0599 3.5679 0.0000
0.0000 0.0000 18.9559
Fe Rh Pb
3 3 6
Direct
0.0000 0.0000 0.0000
0.3333 0.6667 0.6667
0.6667 0.3333 0.3333
0.0000 0.0000 0.3178
0.3333 0.6667 0.9845
0.6667 0.3333 0.6511
0.0000 0.0000 0.5602
0.0000 0.0000 0.7544
0.3333 0.6667 0.2269
0.3333 0.6667 0.4210
0.6667 0.3333 0.0877
0.6667 0.3333 0.8935
```

The value obtained for the formation energy is 0.2262 eV/atom. For the relative energy among the computed polymorphs, the calculation gives 30.1 kJ/mol of formula units. As for the space group: R3m, No. 160. Its uncorrected energy is -5.58 eV per atom. The density of states at the Fermi level is 12.57 states/eV per cell.

---

# 5
The following is a DFT calculation (GGA-PBE) of a geometry-optimized Fe2RhPb structure.

```
Fe2RhPb
1.0
3.0419 0.0000 0.0000
-1.5210 2.6344 0.0000
0.0000 0.0000 24.7763
Fe Rh Pb
6 3 3
Direct
0.0000 0.0000 0.0000
0.0000 0.0000 0.2648
0.3333 0.6667 0.6667
0.3333 0.6667 0.9314
0.6667 0.3333 0.3333
0.6667 0.3333 0.5981
0.0000 0.0000 0.5211
0.3333 0.6667 0.1878
0.6667 0.3333 0.8544
0.0000 0.0000 0.7619
0.3333 0.6667 0.4285
0.6667 0.3333 0.0952
```

The value obtained for the formation energy is 0.4257 eV/atom. As for the space group: R3m, No. 160. Its uncorrected energy is -6.57 eV per atom. The density of states at the Fermi level is 8.13 states/eV per cell.

---

# 6
The following is a DFT calculation (GGA-PBE) of a geometry-optimized Fe2RhPb structure.

```
Fe2RhPb
1.0
6.2697 0.0000 0.0000
0.0000 6.2697 0.0000
0.0000 0.0000 6.2697
Fe Rh Pb
8 4 4
Direct
0.0000 0.0000 0.0000
0.0000 0.5000 0.5000
0.2500 0.2500 0.2500
0.2500 0.7500 0.7500
0.5000 0.0000 0.5000
0.5000 0.5000 0.0000
0.7500 0.2500 0.7500
0.7500 0.7500 0.2500
0.0000 0.0000 0.5000
0.0000 0.5000 0.0000
0.5000 0.0000 0.0000
0.5000 0.5000 0.5000
0.2500 0.2500 0.7500
0.2500 0.7500 0.2500
0.7500 0.2500 0.2500
0.7500 0.7500 0.7500
```

The value obtained for the formation energy is 0.2424 eV/atom. As for the space group: F-43m, No. 216. Its uncorrected energy is -6.75 eV per atom. The density of states at the Fermi level is 14.33 states/eV per cell.

---

Question: What is the formula in the fourth record?
Answer: FeRhPb2

---

What did the sixth record say?
The following is a DFT calculation (GGA-PBE) of a geometry-optimized Fe2RhPb structure.

```
Fe2RhPb
1.0
6.2697 0.0000 0.0000
0.0000 6.2697 0.0000
0.0000 0.0000 6.2697
Fe Rh Pb
8 4 4
Direct
0.0000 0.0000 0.0000
0.0000 0.5000 0.5000
0.2500 0.2500 0.2500
0.2500 0.7500 0.7500
0.5000 0.0000 0.5000
0.5000 0.5000 0.0000
0.7500 0.2500 0.7500
0.7500 0.7500 0.2500
0.0000 0.0000 0.5000
0.0000 0.5000 0.0000
0.5000 0.0000 0.0000
0.5000 0.5000 0.5000
0.2500 0.2500 0.7500
0.2500 0.7500 0.2500
0.7500 0.2500 0.2500
0.7500 0.7500 0.7500
```

The value obtained for the formation energy is 0.2424 eV/atom. As for the space group: F-43m, No. 216. Its uncorrected energy is -6.75 eV per atom. The density of states at the Fermi level is 14.33 states/eV per cell.

---

Question: What is the formula in the fifth record?
Answer: Fe2RhPb